This record from the Alexandria database describes a geometry-optimized BeNb2Co structure. The functional is PBE.

abc: 3.9214 3.9214 3.6324
angles: 90.00 90.00 90.00
Last column: nearest neighbours and their distance in Å.
Positions (direct):
Be (0.0000, 0.0000, 0.0000)  8 Nb 2.67, 4 Co 2.77
Nb (0.0000, 0.5000, 0.5000)  4 Co 2.67, 4 Be 2.67, 4 Nb 2.77
Nb (0.5000, 0.0000, 0.5000)  4 Co 2.67, 4 Be 2.67, 4 Nb 2.77
Co (0.5000, 0.5000, 0.0000)  8 Nb 2.67, 4 Be 2.77

Density in Mg/m³: 7.544
Formation enthalpy at 0 K in eV/atom: -0.028